(1)
{"formula": "BaSiAs2Se", "functional": "PBE", "state": "relaxed", "lattice": [[5.745, 0.000, 0.000], [0.000, 5.745, 0.000], [0.000, 0.000, 5.877]], "species": ["As", "Si", "Se", "As", "Ba"], "fractional_positions": [[0.000, 0.500, 0.000], [0.500, 0.500, 0.500], [0.000, 0.000, 0.500], [0.500, 0.000, 0.000], [0.000, 0.000, 0.000]], "e_form_raw_kj_per_mol_fu": 617, "dft_energy_ev_per_fu": -13.7, "relative_energy_ev_per_atom": 1.6016, "dos_at_fermi_per_ev_fu": 5.2}

***

(2)
{"formula": "PmNd2PuS4", "functional": "PBE", "state": "relaxed", "lattice": [[-2.682, 2.380, 1.816], [2.964, -1.374, 6.180], [3.066, 5.617, -2.833]], "species": ["S", "Pm", "S", "Nd", "Nd", "S", "Pu", "S"], "fractional_positions": [[0.000, 0.249, 0.755], [0.500, 0.500, 0.000], [0.500, 0.756, 0.758], [0.000, 0.500, 0.500], [0.500, 0.000, 0.500], [0.000, 0.751, 0.245], [0.000, 0.000, 0.000], [0.500, 0.244, 0.242]], "e_form_raw_kj_per_mol_fu": -1526, "dft_energy_ev_per_fu": -60.9, "dos_at_fermi_per_ev_fu": 8.8}